Entry 1:
# BaBr3, relaxed, DFT GGA-PBEsol
# Magnetic moment (Bohr magnetons per cell): 0.02
# Electronic total energy (eV per atom): -3.25
data_BaBr3
_chemical_formula_sum 'Ba3 Br9'
_space_group_name_H-M_alt 'R -3 m'
_space_group_IT_number 166
_space_group_name_Hall '-R 3 2"'
_cell_length_a 9.8667
_cell_length_b 9.8667
_cell_length_c 4.9128
_cell_angle_alpha 90.00
_cell_angle_beta 90.00
_cell_angle_gamma 120.00
loop_
_atom_site_label
_atom_site_type_symbol
_atom_site_fract_x
_atom_site_fract_y
_atom_site_fract_z
Ba1 Ba 0.0000 0.0000 0.0000
Br1 Br 0.0000 0.5000 0.0000

=====

Entry 2:
# KTi12Se16, relaxed, DFT GGA-PBEsol
# Magnetic moment (Bohr magnetons per cell): 0.00
# Electronic total energy (eV per atom): -6.89
data_KTi12Se16
_chemical_formula_sum 'K1 Ti12 Se16'
_space_group_name_H-M_alt 'P -1'
_space_group_IT_number 2
_space_group_name_Hall '-P 1'
_cell_length_a 7.008
_cell_length_b 9.812
_cell_length_c 10.419
_cell_angle_alpha 118.09
_cell_angle_beta 109.65
_cell_angle_gamma 90.00
loop_
_atom_site_label
_atom_site_type_symbol
_atom_site_fract_x
_atom_site_fract_y
_atom_site_fract_z
K1 K 0.000 0.000 0.000
Ti1 Ti 0.119 0.129 0.491
Ti2 Ti 0.190 0.639 0.130
Ti3 Ti 0.197 0.510 0.640
Ti4 Ti 0.307 0.491 0.361
Ti5 Ti 0.311 0.361 0.870
Ti6 Ti 0.378 0.870 0.510
Se1 Se 0.041 0.666 0.333
Se2 Se 0.050 0.300 0.352
Se3 Se 0.152 0.352 0.052
Se4 Se 0.226 0.052 0.702
Se5 Se 0.276 0.948 0.300
Se6 Se 0.349 0.650 0.948
Se7 Se 0.450 0.702 0.650
Se8 Se 0.458 0.333 0.666

=====

Entry 3:
# ZrFeNi2, relaxed, DFT GGA-PBEsol
# Magnetic moment (Bohr magnetons per cell): 4.52
# Formation enthalpy at 0 K (meV per atom): -233
data_ZrFeNi2
_chemical_formula_sum 'Zr2 Fe2 Ni4'
_space_group_name_H-M_alt 'I 4/m m m'
_space_group_IT_number 139
_space_group_name_Hall '-I 4 2'
_cell_length_a 3.701
_cell_length_b 3.701
_cell_length_c 7.510
_cell_angle_alpha 90.00
_cell_angle_beta 90.00
_cell_angle_gamma 90.00
loop_
_atom_site_label
_atom_site_type_symbol
_atom_site_fract_x
_atom_site_fract_y
_atom_site_fract_z
Zr1 Zr 0.000 0.000 0.000
Fe1 Fe 0.000 0.000 0.500
Ni1 Ni 0.000 0.500 0.250